Record 1
Here is a relaxed LuScPb crystal from the Alexandria database. Energies are from PBE. Values from VASP.

Results
The symmetry is No. 156. The calculation puts the total DFT energy (no corrections) at -5.03 eV/atom. The value obtained for the density is 8.87 g/cm³. The value obtained for the volume is 80 Å³/f.u. The value obtained for the magnetization is 0.0000 μB per atom.

The structure in Quantum ESPRESSO input format:
```
&SYSTEM
  ibrav = 0, nat = 3, ntyp = 3
/
ATOMIC_SPECIES
Lu 174.97 Lu.upf
Sc 44.96 Sc.upf
Pb 207.20 Pb.upf
ATOMIC_POSITIONS angstrom
Lu 0.000 0.000 0.000
Sc 2.550 1.472 1.881
Pb 0.000 2.944 1.354
CELL_PARAMETERS angstrom
5.099 0.000 0.000
-2.550 4.416 0.000
0.000 0.000 3.552
```

Record 2
Here is a relaxed LuScSnPb crystal from the Alexandria database. Energies are from PBE. Values from VASP.

Results
The symmetry is No. 216. The calculation puts the total DFT energy (no corrections) at -5.00 eV/atom. The value obtained for the density is 8.90 g/cm³. The value obtained for the volume is 102 Å³/f.u. The value obtained for the magnetization is 0.0000 μB per atom.

The structure in Quantum ESPRESSO input format:
```
&SYSTEM
  ibrav = 0, nat = 4, ntyp = 4
/
ATOMIC_SPECIES
Lu 174.97 Lu.upf
Sc 44.96 Sc.upf
Sn 118.71 Sn.upf
Pb 207.20 Pb.upf
ATOMIC_POSITIONS angstrom
Lu 0.000 0.000 0.000
Sc 3.706 3.706 3.706
Sn 1.853 1.853 1.853
Pb 5.559 5.559 5.559
CELL_PARAMETERS angstrom
0.000 3.706 3.706
3.706 0.000 3.706
3.706 3.706 0.000
```

Record 3
Here is a relaxed LuScTlPb crystal from the Alexandria database. Energies are from PBE. Values from VASP.

Results
The symmetry is No. 216. The calculation puts the total DFT energy (no corrections) at -4.48 eV/atom. The value obtained for the density is 10.25 g/cm³. The value obtained for the volume is 102 Å³/f.u. The value obtained for the magnetization is 0.0005 μB per atom.

The structure in Quantum ESPRESSO input format:
```
&SYSTEM
  ibrav = 0, nat = 4, ntyp = 4
/
ATOMIC_SPECIES
Lu 174.97 Lu.upf
Sc 44.96 Sc.upf
Tl 204.38 Tl.upf
Pb 207.20 Pb.upf
ATOMIC_POSITIONS angstrom
Lu 0.000 0.000 0.000
Sc 3.713 3.713 3.713
Tl 5.569 5.569 5.569
Pb 1.856 1.856 1.856
CELL_PARAMETERS angstrom
0.000 3.713 3.713
3.713 0.000 3.713
3.713 3.713 0.000
```

Record 4
Here is a relaxed LuPbSe2 crystal from the Alexandria database. Energies are from PBE. Values from VASP.

Results
The symmetry is No. 166. As for the raw formation energy: -1155.3 meV/atom. The value obtained for the density is 7.26 g/cm³. The value obtained for the volume is 124 Å³/f.u. The value obtained for the magnetization is 0.0000 μB per atom.

The structure in Quantum ESPRESSO input format:
```
&SYSTEM
  ibrav = 0, nat = 4, ntyp = 3
/
ATOMIC_SPECIES
Lu 174.97 Lu.upf
Pb 207.20 Pb.upf
Se 78.96 Se.upf
ATOMIC_POSITIONS angstrom
Lu 0.000 0.000 0.000
Pb 0.000 0.000 13.670
Se 0.000 0.000 10.704
Se 0.000 0.000 16.635
CELL_PARAMETERS angstrom
1.979 1.142 9.113
-1.979 1.142 9.113
0.000 -2.285 9.113
```

Record 5
Here is a relaxed Lu2PbSe crystal from the Alexandria database. Energies are from PBE. Values from VASP.

Results
The symmetry is No. 166. As for the raw formation energy: -539.6 meV/atom. The value obtained for the density is 6.88 g/cm³. The value obtained for the volume is 153 Å³/f.u. The value obtained for the magnetization is 0.0000 μB per atom.

The structure in Quantum ESPRESSO input format:
```
&SYSTEM
  ibrav = 0, nat = 4, ntyp = 3
/
ATOMIC_SPECIES
Lu 174.97 Lu.upf
Pb 207.20 Pb.upf
Se 78.96 Se.upf
ATOMIC_POSITIONS angstrom
Lu 0.000 0.000 2.556
Lu 0.000 0.000 21.371
Pb 0.000 0.000 11.963
Se 0.000 0.000 0.000
CELL_PARAMETERS angstrom
2.357 1.361 7.976
-2.357 1.361 7.976
0.000 -2.721 7.976
```

Record 6
Here is a relaxed Lu2PbSe crystal from the Alexandria database. Energies are from PBE. Values from VASP.

Results
The symmetry is No. 123. As for the raw formation energy: -820.6 meV/atom. The value obtained for the density is 10.95 g/cm³. The value obtained for the volume is 97 Å³/f.u. The value obtained for the magnetization is 0.0001 μB per atom.

The structure in Quantum ESPRESSO input format:
```
&SYSTEM
  ibrav = 0, nat = 4, ntyp = 3
/
ATOMIC_SPECIES
Lu 174.97 Lu.upf
Pb 207.20 Pb.upf
Se 78.96 Se.upf
ATOMIC_POSITIONS angstrom
Lu 0.000 0.000 1.762
Lu 0.000 0.000 6.129
Pb 1.748 1.748 3.946
Se 1.748 1.748 0.000
CELL_PARAMETERS angstrom
3.497 0.000 0.000
0.000 3.497 0.000
0.000 0.000 7.891
```

Record 7
Here is a relaxed Sm2LuPb crystal from the Alexandria database. Energies are from PBE. Values from VASP.

Results
The symmetry is No. 123. The calculation puts the total DFT energy (no corrections) at -4.70 eV/atom. The value obtained for the density is 9.71 g/cm³. The value obtained for the volume is 117 Å³/f.u. The value obtained for the magnetization is 0.0000 μB per atom.

The structure in Quantum ESPRESSO input format:
```
&SYSTEM
  ibrav = 0, nat = 4, ntyp = 3
/
ATOMIC_SPECIES
Sm 150.36 Sm.upf
Lu 174.97 Lu.upf
Pb 207.20 Pb.upf
ATOMIC_POSITIONS angstrom
Sm 0.000 2.430 0.000
Sm 2.430 0.000 0.000
Lu 0.000 0.000 2.473
Pb 2.430 2.430 2.473
CELL_PARAMETERS angstrom
4.859 0.000 0.000
0.000 4.859 0.000
0.000 0.000 4.947
```

Record 8
Here is a relaxed SmLu2Pb crystal from the Alexandria database. Energies are from PBE. Values from VASP.

Results
The symmetry is No. 123. The calculation puts the total DFT energy (no corrections) at -4.56 eV/atom. The value obtained for the density is 9.87 g/cm³. The value obtained for the volume is 119 Å³/f.u. The value obtained for the magnetization is 0.0002 μB per atom.

The structure in Quantum ESPRESSO input format:
```
&SYSTEM
  ibrav = 0, nat = 4, ntyp = 3
/
ATOMIC_SPECIES
Sm 150.36 Sm.upf
Lu 174.97 Lu.upf
Pb 207.20 Pb.upf
ATOMIC_POSITIONS angstrom
Sm 0.000 0.000 0.000
Lu 1.815 1.815 2.413
Lu 1.815 1.815 6.623
Pb 0.000 0.000 4.518
CELL_PARAMETERS angstrom
3.630 0.000 0.000
0.000 3.630 0.000
0.000 0.000 9.035
```